1.
{
  "formula": "Sc4Ag3Au2",
  "functional": "PBE",
  "state": "optimized geometry",
  "sg": "C2/m (12)",
  "magnetic_moment_mub_per_fu": 0.0,
  "mass_density_g_cm3": 8.35,
  "crystal_system": "monoclinic",
  "formation_enthalpy_0k_ev_per_fu": -4.040,
  "cell": [[4.769, 0.001, 0.000], [2.384, 4.125, 0.151], [-0.003, -0.351, 9.062]],
  "species": ["Sc", "Sc", "Sc", "Sc", "Ag", "Ag", "Ag", "Au", "Au"],
  "fractional_positions": [[0.667, 0.666, 0.880], [0.999, 0.001, 0.333], [0.001, 0.999, 0.667], [0.333, 0.334, 0.120], [0.333, 0.334, 0.483], [0.000, 0.000, 0.000], [0.667, 0.666, 0.517], [0.334, 0.333, 0.811], [0.666, 0.667, 0.189]]
}



2.
{
  "formula": "ScAgAu2",
  "functional": "PBE",
  "state": "optimized geometry",
  "sg": "C2/m (12)",
  "magnetic_moment_mub_per_fu": 0.0,
  "mass_density_g_cm3": 12.04,
  "crystal_system": "monoclinic",
  "formation_enthalpy_0k_ev_per_fu": -1.610,
  "cell": [[-4.832, -0.677, 5.478], [1.409, -3.215, -2.751], [0.709, -2.233, 2.980]],
  "species": ["Ag", "Au", "Au", "Sc"],
  "fractional_positions": [[0.500, 0.500, 0.000], [0.000, 0.000, 0.000], [0.500, 0.000, 0.500], [0.000, 0.500, 0.500]]
}



3.
{
  "formula": "ScAgAu",
  "functional": "PBE",
  "state": "optimized geometry",
  "sg": "C2/m (12)",
  "magnetic_moment_mub_per_fu": 0.0,
  "mass_density_g_cm3": 9.43,
  "crystal_system": "monoclinic",
  "formation_enthalpy_0k_ev_per_fu": -1.231,
  "cell": [[-3.446, -0.138, 1.327], [1.320, -4.566, -2.191], [2.622, 0.443, 6.855]],
  "species": ["Au", "Au", "Sc", "Sc", "Ag", "Ag"],
  "fractional_positions": [[0.361, 0.721, 0.351], [0.639, 0.279, 0.649], [0.636, 0.272, 0.266], [0.364, 0.728, 0.734], [0.876, 0.752, 0.056], [0.124, 0.248, 0.944]]
}



4.
{
  "formula": "ScAg3Au6",
  "functional": "PBE",
  "state": "optimized geometry",
  "sg": "P2_1/m (11)",
  "magnetic_moment_mub_per_fu": 0.0,
  "mass_density_g_cm3": 14.06,
  "crystal_system": "monoclinic",
  "formation_enthalpy_0k_ev_per_fu": -2.352,
  "cell": [[4.298, 0.000, 0.000], [0.000, 9.004, -0.396], [0.000, -0.170, 9.471]],
  "species": ["Sc", "Sc", "Ag", "Ag", "Ag", "Ag", "Ag", "Ag", "Au", "Au", "Au", "Au", "Au", "Au", "Au", "Au", "Au", "Au", "Au", "Au"],
  "fractional_positions": [[0.250, 0.938, 0.617], [0.750, 0.062, 0.383], [0.250, 0.551, 0.402], [0.750, 0.449, 0.598], [0.250, 0.342, 0.800], [0.750, 0.658, 0.200], [0.250, 0.748, 0.005], [0.750, 0.252, 0.995], [0.250, 0.453, 0.099], [0.750, 0.547, 0.901], [0.250, 0.157, 0.200], [0.750, 0.843, 0.800], [0.250, 0.641, 0.704], [0.750, 0.359, 0.296], [0.250, 0.237, 0.502], [0.750, 0.763, 0.498], [0.250, 0.861, 0.309], [0.750, 0.139, 0.691], [0.250, 0.046, 0.903], [0.750, 0.954, 0.097]]
}



5.
{
  "formula": "Sc2Ag3Au3",
  "functional": "PBE",
  "state": "optimized geometry",
  "sg": "R32 (155)",
  "magnetic_moment_mub_per_fu": 0.0,
  "mass_density_g_cm3": 11.09,
  "crystal_system": "trigonal",
  "formation_enthalpy_0k_ev_per_fu": -3.466,
  "cell": [[5.321, -0.148, 0.142], [-0.142, 5.321, 0.142], [0.148, 0.148, 5.321]],
  "species": ["Sc", "Sc", "Ag", "Ag", "Ag", "Au", "Au", "Au"],
  "fractional_positions": [[0.228, 0.228, 0.772], [0.772, 0.772, 0.228], [0.241, 0.759, 0.500], [0.500, 0.241, 0.241], [0.759, 0.500, 0.759], [0.282, 0.718, 0.000], [0.000, 0.282, 0.282], [0.718, 0.000, 0.718]]
}



6.
{
  "formula": "Sc6Ag5Au",
  "functional": "PBE",
  "state": "optimized geometry",
  "sg": "Cmmm (65)",
  "magnetic_moment_mub_per_fu": 0.0,
  "mass_density_g_cm3": 6.91,
  "crystal_system": "orthorhombic",
  "formation_enthalpy_0k_ev_per_fu": -4.431,
  "cell": [[-1.068, 2.243, -4.182], [-6.636, -1.023, 1.147], [-0.910, 7.504, 1.428]],
  "species": ["Sc", "Sc", "Sc", "Sc", "Sc", "Sc", "Au", "Ag", "Ag", "Ag", "Ag", "Ag"],
  "fractional_positions": [[0.835, 0.750, 0.330], [0.835, 0.250, 0.330], [0.500, 0.246, 0.000], [0.500, 0.754, 0.000], [0.165, 0.750, 0.670], [0.165, 0.250, 0.670], [0.000, 0.000, 0.000], [0.666, 0.500, 0.668], [0.329, 0.000, 0.342], [0.000, 0.500, 0.000], [0.671, 0.000, 0.658], [0.334, 0.500, 0.332]]
}



7.
{
  "formula": "Sc3AgAu2",
  "functional": "PBE",
  "state": "optimized geometry",
  "sg": "P-3m1 (164)",
  "magnetic_moment_mub_per_fu": 0.0,
  "mass_density_g_cm3": 8.87,
  "crystal_system": "trigonal",
  "formation_enthalpy_0k_ev_per_fu": -3.804,
  "cell": [[-3.477, 0.538, -3.301], [4.077, -2.311, -1.146], [-4.836, -10.232, 3.427]],
  "species": ["Sc", "Sc", "Sc", "Sc", "Sc", "Sc", "Ag", "Ag", "Au", "Au", "Au", "Au"],
  "fractional_positions": [[0.333, 0.667, 0.418], [0.667, 0.333, 0.080], [0.000, 0.000, 0.753], [0.000, 0.000, 0.247], [0.333, 0.667, 0.920], [0.667, 0.333, 0.582], [0.333, 0.667, 0.670], [0.667, 0.333, 0.330], [0.000, 0.000, 0.500], [0.333, 0.667, 0.175], [0.667, 0.333, 0.825], [0.000, 0.000, 0.000]]
}



8.
{
  "formula": "ScAgAu2",
  "functional": "PBE",
  "state": "optimized geometry",
  "sg": "Pmm2 (25)",
  "magnetic_moment_mub_per_fu": 0.0,
  "mass_density_g_cm3": 12.05,
  "crystal_system": "orthorhombic",
  "formation_enthalpy_0k_ev_per_fu": -1.679,
  "cell": [[3.539, 0.000, 0.000], [0.000, 3.556, 0.000], [0.000, 0.000, 5.986]],
  "species": ["Ag", "Au", "Au", "Sc"],
  "fractional_positions": [[0.500, 0.500, 0.761], [0.000, 0.000, 0.993], [0.500, 0.500, 0.258], [0.000, 0.000, 0.488]]
}



9.
{
  "formula": "ScAg3Au",
  "functional": "PBE",
  "state": "optimized geometry",
  "sg": "Pm-3m (221)",
  "magnetic_moment_mub_per_fu": 0.1,
  "mass_density_g_cm3": 7.13,
  "crystal_system": "cubic",
  "formation_enthalpy_0k_ev_per_fu": 2.844,
  "cell": [[-3.886, 2.685, -1.889], [-3.247, -2.709, 2.828], [0.487, 3.366, 3.783]],
  "species": ["Sc", "Au", "Ag", "Ag", "Ag"],
  "fractional_positions": [[0.500, 0.500, 0.500], [0.000, 0.000, 0.000], [0.000, 0.500, 0.000], [0.000, 0.000, 0.500], [0.500, 0.000, 0.000]]
}



10.
{
  "formula": "ScAgSnAu",
  "functional": "PBE",
  "state": "optimized geometry",
  "sg": "F-43m (216)",
  "magnetic_moment_mub_per_fu": 0.0,
  "mass_density_g_cm3": 9.68,
  "crystal_system": "cubic",
  "formation_enthalpy_0k_ev_per_fu": -1.698,
  "cell": [[-2.143, -4.021, -1.643], [2.425, -3.021, -2.907], [1.403, -4.335, 1.641]],
  "species": ["Sc", "Au", "Sn", "Ag"],
  "fractional_positions": [[0.750, 0.750, 0.750], [0.000, 0.000, 0.000], [0.250, 0.250, 0.250], [0.500, 0.500, 0.500]]
}



11.
{
  "formula": "Sr2ScAgAu6",
  "functional": "PBE",
  "state": "optimized geometry",
  "sg": "Fm-3m (225)",
  "magnetic_moment_mub_per_fu": 0.0,
  "mass_density_g_cm3": 8.81,
  "crystal_system": "cubic",
  "formation_enthalpy_0k_ev_per_fu": -2.488,
  "cell": [[7.383, 0.000, 0.000], [0.000, 7.383, 0.000], [3.692, 3.691, 5.221]],
  "species": ["Sr", "Sr", "Sc", "Ag", "Au", "Au", "Au", "Au", "Au", "Au"],
  "fractional_positions": [[0.250, 0.750, 0.500], [0.750, 0.250, 0.500], [0.500, 0.500, 0.000], [0.000, 0.000, 0.000], [0.251, 0.749, 0.000], [0.749, 0.749, 0.000], [0.251, 0.251, 0.497], [0.749, 0.251, 0.000], [0.251, 0.251, 0.000], [0.749, 0.749, 0.503]]
}



12.
{
  "formula": "SrScAgAu",
  "functional": "PBE",
  "state": "optimized geometry",
  "sg": "F-43m (216)",
  "magnetic_moment_mub_per_fu": 0.0,
  "mass_density_g_cm3": 7.53,
  "crystal_system": "cubic",
  "formation_enthalpy_0k_ev_per_fu": -1.419,
  "cell": [[5.147, 0.000, 0.000], [2.573, 4.457, 0.000], [2.573, 1.486, 4.202]],
  "species": ["Sc", "Sr", "Au", "Ag"],
  "fractional_positions": [[0.500, 0.500, 0.500], [0.000, 0.000, 0.000], [0.250, 0.250, 0.250], [0.750, 0.750, 0.750]]
}



13.
{
  "formula": "Sc2TcAgAu",
  "functional": "PBE",
  "state": "optimized geometry",
  "sg": "P4/mmm (123)",
  "magnetic_moment_mub_per_fu": 2.5,
  "mass_density_g_cm3": 6.55,
  "crystal_system": "tetragonal",
  "formation_enthalpy_0k_ev_per_fu": 5.087,
  "cell": [[5.032, 0.000, 0.000], [0.000, 4.932, 0.000], [0.000, 0.000, 5.032]],
  "species": ["Sc", "Sc", "Au", "Tc", "Ag"],
  "fractional_positions": [[0.000, 0.000, 0.500], [0.500, 0.000, 0.000], [0.000, 0.500, 0.000], [0.500, 0.500, 0.500], [0.000, 0.000, 0.000]]
}



14.
{
  "formula": "Sc4TlAg2Au",
  "functional": "PBE",
  "state": "optimized geometry",
  "sg": "R-3m (166)",
  "magnetic_moment_mub_per_fu": 0.0,
  "mass_density_g_cm3": 7.94,
  "crystal_system": "trigonal",
  "formation_enthalpy_0k_ev_per_fu": -3.365,
  "cell": [[-3.727, 1.354, 2.890], [-4.626, -0.804, -1.423], [-2.632, -6.978, 4.040]],
  "species": ["Sc", "Sc", "Sc", "Sc", "Tl", "Ag", "Ag", "Au"],
  "fractional_positions": [[0.380, 0.380, 0.859], [0.870, 0.870, 0.389], [0.130, 0.130, 0.611], [0.620, 0.620, 0.141], [0.000, 0.000, 0.000], [0.747, 0.747, 0.760], [0.253, 0.253, 0.240], [0.500, 0.500, 0.500]]
}



15.
{
  "formula": "YScAgAu",
  "functional": "PBE",
  "state": "optimized geometry",
  "sg": "F-43m (216)",
  "magnetic_moment_mub_per_fu": 0.0,
  "mass_density_g_cm3": 8.30,
  "crystal_system": "cubic",
  "formation_enthalpy_0k_ev_per_fu": -2.197,
  "cell": [[-0.215, 4.707, 1.635], [-3.648, 3.019, -1.564], [-3.613, 1.384, 3.147]],
  "species": ["Y", "Sc", "Au", "Ag"],
  "fractional_positions": [[0.750, 0.750, 0.750], [0.250, 0.250, 0.250], [0.500, 0.500, 0.500], [0.000, 0.000, 0.000]]
}



16.
{
  "formula": "YScAgAu",
  "functional": "PBE",
  "state": "optimized geometry",
  "sg": "P4mm (99)",
  "magnetic_moment_mub_per_fu": 0.0,
  "mass_density_g_cm3": 8.36,
  "crystal_system": "tetragonal",
  "formation_enthalpy_0k_ev_per_fu": -2.272,
  "cell": [[3.497, 0.000, 0.000], [0.000, 3.497, 0.000], [0.000, 0.000, 7.129]],
  "species": ["Y", "Sc", "Ag", "Au"],
  "fractional_positions": [[0.500, 0.500, 0.602], [0.500, 0.500, 0.112], [0.000, 0.000, 0.882], [0.000, 0.000, 0.331]]
}



17.
{
  "formula": "ScZn2AgAu2",
  "functional": "PBE",
  "state": "optimized geometry",
  "sg": "P-3m1 (164)",
  "magnetic_moment_mub_per_fu": 0.0,
  "mass_density_g_cm3": 10.65,
  "crystal_system": "trigonal",
  "formation_enthalpy_0k_ev_per_fu": -2.450,
  "cell": [[-1.114, -1.715, 4.048], [3.350, -1.876, -2.413], [3.907, 3.622, 2.610]],
  "species": ["Sc", "Zn", "Zn", "Ag", "Au", "Au"],
  "fractional_positions": [[0.000, 0.000, 0.500], [0.333, 0.667, 0.782], [0.667, 0.333, 0.218], [0.000, 0.000, 0.000], [0.333, 0.667, 0.263], [0.667, 0.333, 0.737]]
}



18.
{
  "formula": "Sc2Zn5Ag2Au3",
  "functional": "PBE",
  "state": "optimized geometry",
  "sg": "I4/mmm (139)",
  "magnetic_moment_mub_per_fu": 1.2,
  "mass_density_g_cm3": 9.30,
  "crystal_system": "tetragonal",
  "formation_enthalpy_0k_ev_per_fu": -2.024,
  "cell": [[3.724, 0.000, 0.000], [0.000, 3.724, 0.000], [-1.862, -1.862, 15.753]],
  "species": ["Sc", "Sc", "Zn", "Zn", "Zn", "Zn", "Zn", "Ag", "Ag", "Au", "Au", "Au"],
  "fractional_positions": [[0.720, 0.720, 0.440], [0.280, 0.280, 0.560], [0.569, 0.069, 0.138], [0.431, 0.931, 0.862], [0.069, 0.569, 0.138], [0.931, 0.431, 0.862], [0.500, 0.500, 0.000], [0.370, 0.370, 0.739], [0.630, 0.630, 0.261], [0.182, 0.182, 0.364], [0.818, 0.818, 0.636], [0.000, 0.000, 0.000]]
}



19.
{
  "formula": "Ag2AuSe2",
  "functional": "PBE",
  "state": "optimized geometry",
  "sg": "P4/mbm (127)",
  "magnetic_moment_mub_per_fu": 0.0,
  "raw_formation_energy_ev_per_atom": 0.23,
  "mass_density_g_cm3": 9.38,
  "crystal_system": "tetragonal",
  "cell": [[7.429, 0.000, 0.000], [0.000, 7.429, 0.000], [0.000, 0.000, 3.663]],
  "species": ["Au", "Au", "Se", "Se", "Se", "Se", "Ag", "Ag", "Ag", "Ag"],
  "fractional_positions": [[0.000, 0.000, 0.000], [0.500, 0.500, 0.000], [0.168, 0.668, 0.500], [0.668, 0.832, 0.500], [0.832, 0.332, 0.500], [0.332, 0.168, 0.500], [0.361, 0.861, 0.000], [0.861, 0.639, 0.000], [0.639, 0.139, 0.000], [0.139, 0.361, 0.000]]
}



20.
{
  "formula": "AgAuSe2",
  "functional": "PBE",
  "state": "optimized geometry",
  "sg": "C2/c (15)",
  "magnetic_moment_mub_per_fu": 0.0,
  "raw_formation_energy_ev_per_atom": 0.04,
  "mass_density_g_cm3": 8.77,
  "crystal_system": "monoclinic",
  "cell": [[4.189, -0.200, -0.350], [-1.203, 6.585, 0.965], [-1.203, -2.501, 6.167]],
  "species": ["Ag", "Ag", "Au", "Au", "Se", "Se", "Se", "Se"],
  "fractional_positions": [[0.750, 0.885, 0.115], [0.250, 0.115, 0.885], [0.750, 0.611, 0.389], [0.250, 0.389, 0.611], [0.888, 0.378, 0.103], [0.612, 0.897, 0.622], [0.112, 0.622, 0.897], [0.388, 0.103, 0.378]]
}